# TaCd2Pt

An optimized crystal structure of TaCd2Pt (PBE, Alexandria).

Results
- Crystal system: orthorhombic
- Energy relative to the lowest polymorph listed for this composition: 293 meV/atom
- E_form: 0.115 eV/atom

Unit cell a=2.880 b=4.380 c=5.847 alpha=90.00 beta=90.00 gamma=90.00
Space group Pmmm (No. 47)
Asymmetric unit:
Ta: 0.000 0.000 0.000 (multiplicity 1)
Cd: 0.500 0.500 0.257 (multiplicity 2)
Pt: 0.000 0.000 0.500 (multiplicity 1)